The following is a PBE calculation of an optimized crystal structure of VIr2W, from Alexandria via LeMat-Bulk.

Output
Magnetization: 0.0 μB/cell
Calculated total energy: -9.56 eV per atom
Formation energy from the elements: 391 meV per atom
Energy relative to the lowest polymorph listed for this composition: 776 meV/atom
DOS at the Fermi energy: 7.7 states/eV per cell

Unit cell a=9.1060 b=9.1060 c=9.1060 alpha=155.50 beta=155.50 gamma=34.93
Closest atoms and distances in Å follow each position.
Atoms (fractional coordinates):
1 V 0.0000 0.0000 0.0000  4 Ir 2.55, 4 W 2.73
2 V 0.7500 0.2500 0.5000  4 Ir 2.55, 4 W 2.73
3 Ir 0.1144 0.6250 0.9894  2 V 2.55, 2 W 2.58, 4 Ir 2.68-2.79
4 Ir 0.3750 0.3644 0.4894  2 V 2.55, 2 W 2.58, 4 Ir 2.68-2.79
5 Ir 0.6356 0.1250 0.0106  2 V 2.55, 2 W 2.58, 4 Ir 2.68-2.79
6 Ir 0.8750 0.8856 0.5106  2 V 2.55, 2 W 2.58, 4 Ir 2.68-2.79
7 W 0.2500 0.7500 0.5000  4 Ir 2.58, 4 V 2.73
8 W 0.5000 0.5000 0.0000  4 Ir 2.58, 4 V 2.73